Material: Y2NbAg
Method: DFT, PBE
State: relaxed

**Theoretical density**: 6.4 Mg/m³
**Uncorrected energy**: -6.2830 eV/atom
**Formation energy from the elements**: 0.179 eV/atom
**M_tot**: 2.28 μB/f.u.

Unit cell a=7.3079 b=7.3079 c=7.3079 alpha=90.00 beta=90.00 gamma=90.00
With the nearest neighbours (Å) after each atom.
Space group Fm-3m (No. 225)
One atom of each set of equivalent atoms:
Y 0.2500 0.2500 0.2500 [8 per cell]  4 Ag 3.16, 4 Nb 3.16
Nb 0.0000 0.0000 0.0000 [4 per cell]  8 Y 3.16
Ag 0.0000 0.0000 0.5000 [4 per cell]  8 Y 3.16